10
Lattice="7.3701 0.0000 0.0000 0.0000 7.3701 0.0000 0.0000 0.0000 2.6418" Properties=species:S:1:pos:R:3 comment="PBE Be2Nb2Cu, optimized geometry" de_polymorph_ev_per_fu=2.71 e_form_ev_per_atom=0.433 spacegroup="No. 127" pbc="T T T"
Be 1.2174 2.4677 0.0000
Be 2.4677 6.1527 0.0000
Be 4.9024 1.2174 0.0000
Be 6.1527 4.9024 0.0000
Nb 0.9882 4.6733 1.3209
Nb 2.6968 0.9882 1.3209
Nb 4.6733 6.3818 1.3209
Nb 6.3818 2.6968 1.3209
Cu 0.0000 0.0000 1.3209
Cu 3.6850 3.6850 1.3209